[1]
First-principles (PBE-GGA) data for an optimized crystal structure of GaSbTe2P, as listed in Alexandria.

a = 5.4407 Å, b = 5.4407 Å, c = 5.0613 Å
α = 90.00°, β = 90.00°, γ = 90.00°
Last column: nearest neighbours and their distance in Å.
Fractional coordinates of all 5 atoms:
Ga 0.0000 0.0000 0.0000  8 Te 3.72, 4 Sb 3.85
Sb 0.5000 0.5000 0.0000  2 P 2.53
Te 0.0000 0.5000 0.5000  2 P 2.72
Te 0.5000 0.0000 0.5000  2 P 2.72
P 0.5000 0.5000 0.5000  2 Sb 2.53, 4 Te 2.72

Computed properties:
**Distance to the lowest polymorph of the same formula**: 0.00 eV/f.u.
**Fermi-level density of states**: 3.5 states/eV/cell
**Final energy**: -16.7 eV per cell
**Space group**: No. 123
**Formation energy (no corrections)**: 0.4276 eV per atom

[2]
First-principles (PBE-GGA) data for an optimized crystal structure of SbH2Ru2, as listed in Alexandria.

a = 3.8951 Å, b = 3.8951 Å, c = 7.8759 Å
α = 90.00°, β = 90.00°, γ = 90.00°
Last column: nearest neighbours and their distance in Å.
Fractional coordinates of all 10 atoms:
Sb 0.0000 0.0000 0.0000  2 H 2.46
Sb 0.5000 0.5000 0.5000  2 H 2.46
H 0.0000 0.0000 0.3125  4 Ru 2.01
H 0.0000 0.0000 0.6875  4 Ru 2.01
H 0.5000 0.5000 0.1875  4 Ru 2.01
H 0.5000 0.5000 0.8125  4 Ru 2.01
Ru 0.0000 0.5000 0.2500  4 H 2.01
Ru 0.0000 0.5000 0.7500  4 H 2.01
Ru 0.5000 0.0000 0.2500  4 H 2.01
Ru 0.5000 0.0000 0.7500  4 H 2.01

Computed properties:
**Distance to the lowest polymorph of the same formula**: 0.00 eV/f.u.
**Fermi-level density of states**: 8.2 states/eV/cell
**Final energy**: -56.1 eV per cell
**Space group**: No. 139

[3]
First-principles (PBE-GGA) data for an optimized crystal structure of Dy2HO3, as listed in Alexandria.

a = 8.8524 Å, b = 3.3352 Å, c = 9.1195 Å
α = 90.00°, β = 90.00°, γ = 90.00°
Last column: nearest neighbours and their distance in Å.
Fractional coordinates of all 24 atoms:
Dy 0.0108 0.2500 0.1773  7 O 2.27-2.48, 2 H 2.41
Dy 0.1826 0.2500 0.4944  1 H 2.10, 1 O 2.28
Dy 0.3174 0.7500 0.9944  1 H 2.10, 1 O 2.28
Dy 0.4892 0.7500 0.6773  7 O 2.27-2.48, 2 H 2.41
Dy 0.5108 0.2500 0.3227  7 O 2.27-2.48, 2 H 2.41
Dy 0.6826 0.2500 0.0056  1 H 2.10, 1 O 2.28
Dy 0.8174 0.7500 0.5056  1 H 2.10, 1 O 2.28
Dy 0.9892 0.7500 0.8227  7 O 2.27-2.48, 2 H 2.41
H 0.2064 0.7500 0.1980  2 O 1.75
H 0.2936 0.2500 0.6980  2 O 1.75
H 0.7064 0.7500 0.3020  2 O 1.75
H 0.7936 0.2500 0.8020  2 O 1.75
O 0.0388 0.7500 0.3770  1 H 2.21, 3 Dy 2.28-2.36
O 0.1218 0.2500 0.9465  5 Dy 2.32-2.44
O 0.2349 0.7500 0.7068  2 H 1.75
O 0.2651 0.2500 0.2068  2 H 1.75
O 0.3782 0.7500 0.4465  5 Dy 2.32-2.44
O 0.4612 0.2500 0.8770  1 H 2.21, 3 Dy 2.28-2.36
O 0.5388 0.7500 0.1230  1 H 2.21, 3 Dy 2.28-2.36
O 0.6218 0.2500 0.5535  5 Dy 2.32-2.44
O 0.7349 0.7500 0.7932  2 H 1.75
O 0.7651 0.2500 0.2932  2 H 1.75
O 0.8782 0.7500 0.0535  5 Dy 2.32-2.44
O 0.9612 0.2500 0.6230  1 H 2.21, 3 Dy 2.28-2.36

Computed properties:
**Fermi-level density of states**: 2.5 states/eV/cell
**Final energy**: -170.5 eV per cell
**Space group**: No. 62

[4]
First-principles (PBE-GGA) data for an optimized crystal structure of Sm2Mg3Ir2, as listed in Alexandria.

a = 10.2627 Å, b = 4.2641 Å, c = 7.5754 Å
α = 90.00°, β = 111.67°, γ = 90.00°
Last column: nearest neighbours and their distance in Å.
Fractional coordinates of all 14 atoms:
Sm 0.1486 0.0000 0.2950  4 Ir 2.94-3.10, 1 Mg 3.26
Sm 0.3514 0.5000 0.7050  4 Ir 2.94-3.10, 1 Mg 3.26
Sm 0.6486 0.5000 0.2950  4 Ir 2.94-3.10, 1 Mg 3.26
Sm 0.8514 0.0000 0.7050  4 Ir 2.94-3.10, 1 Mg 3.26
Mg 0.0000 0.5000 0.5000  4 Ir 2.73
Mg 0.1403 0.5000 0.9385  3 Ir 2.80-2.84, 3 Mg 2.99-3.09
Mg 0.3597 0.0000 0.0615  3 Ir 2.80-2.84, 3 Mg 2.99-3.09
Mg 0.5000 0.0000 0.5000  4 Ir 2.73
Mg 0.6403 0.0000 0.9385  3 Ir 2.80-2.84, 3 Mg 2.99-3.09
Mg 0.8597 0.5000 0.0615  3 Ir 2.80-2.84, 3 Mg 2.99-3.09
Ir 0.1513 0.0000 0.6965  5 Mg 2.73-2.84, 3 Sm 2.94-3.03
Ir 0.3487 0.5000 0.3035  5 Mg 2.73-2.84, 3 Sm 2.94-3.03
Ir 0.6513 0.5000 0.6965  5 Mg 2.73-2.84, 3 Sm 2.94-3.03
Ir 0.8487 0.0000 0.3035  5 Mg 2.73-2.84, 3 Sm 2.94-3.03

Computed properties:
**Fermi-level density of states**: 7.1 states/eV/cell
**Final energy**: -71.3 eV per cell
**Space group**: No. 12

[5]
First-principles (PBE-GGA) data for an optimized crystal structure of KPaSn2Te4, as listed in Alexandria.

a = 6.4804 Å, b = 6.4804 Å, c = 13.0802 Å
α = 90.00°, β = 90.00°, γ = 90.00°
Last column: nearest neighbours and their distance in Å.
Fractional coordinates of all 16 atoms:
K 0.0000 0.0000 0.0000  6 Te 3.24-3.40
K 0.5000 0.5000 0.5000  6 Te 3.24-3.40
Pa 0.0000 0.5000 0.7500  6 Te 3.10-3.24
Pa 0.5000 0.0000 0.2500  6 Te 3.10-3.24
Sn 0.0000 0.0000 0.5000  6 Te 3.14-3.24
Sn 0.0000 0.5000 0.2500  6 Te 3.24-3.44
Sn 0.5000 0.0000 0.7500  6 Te 3.24-3.44
Sn 0.5000 0.5000 0.0000  6 Te 3.14-3.24
Te 0.0000 0.0000 0.2601  3 Sn 3.14-3.24, 2 Pa 3.24, 1 K 3.40
Te 0.0000 0.0000 0.7399  3 Sn 3.14-3.24, 2 Pa 3.24, 1 K 3.40
Te 0.0000 0.5000 0.5128  1 Pa 3.10, 2 K 3.24, 3 Sn 3.24-3.44
Te 0.0000 0.5000 0.9872  1 Pa 3.10, 3 Sn 3.24-3.44, 2 K 3.24
Te 0.5000 0.0000 0.0128  1 Pa 3.10, 3 Sn 3.24-3.44, 2 K 3.24
Te 0.5000 0.0000 0.4872  1 Pa 3.10, 2 K 3.24, 3 Sn 3.24-3.44
Te 0.5000 0.5000 0.2399  3 Sn 3.14-3.24, 2 Pa 3.24, 1 K 3.40
Te 0.5000 0.5000 0.7601  3 Sn 3.14-3.24, 2 Pa 3.24, 1 K 3.40

Computed properties:
**Fermi-level density of states**: 17.8 states/eV/cell
**Final energy**: -70.0 eV per cell
**Space group**: No. 119
**Formation energy (no corrections)**: -0.4808 eV per atom

[6]
First-principles (PBE-GGA) data for an optimized crystal structure of CaYPdPt, as listed in Alexandria.

a = 4.3755 Å, b = 3.8636 Å, c = 10.8385 Å
α = 90.00°, β = 90.00°, γ = 90.00°
Last column: nearest neighbours and their distance in Å.
Fractional coordinates of all 8 atoms:
Ca 0.0000 0.0000 0.0000  3 Pt 2.96-3.12, 4 Pd 2.99
Ca 0.0000 0.5000 0.5000  3 Pt 2.96-3.12, 4 Pd 2.99
Y 0.5000 0.0000 0.2792  4 Pt 2.97, 3 Pd 3.05
Y 0.5000 0.5000 0.7792  4 Pt 2.97, 3 Pd 3.05
Pd 0.5000 0.0000 0.5609  2 Pt 2.83, 4 Ca 2.99, 3 Y 3.05
Pd 0.5000 0.5000 0.0609  2 Pt 2.83, 4 Ca 2.99, 3 Y 3.05
Pt 0.0000 0.0000 0.7266  2 Pd 2.83, 3 Ca 2.96-3.12, 4 Y 2.97
Pt 0.0000 0.5000 0.2266  2 Pd 2.83, 3 Ca 2.96-3.12, 4 Y 2.97

Computed properties:
**Fermi-level density of states**: 2.6 states/eV/cell
**Final energy**: -47.0 eV per cell
**Space group**: No. 38

[7]
First-principles (PBE-GGA) data for an optimized crystal structure of Ac6La3Ho2, as listed in Alexandria.

a = 6.6710 Å, b = 8.5769 Å, c = 8.5908 Å
α = 107.26°, β = 104.91°, γ = 97.45°
Last column: nearest neighbours and their distance in Å.
Fractional coordinates of all 11 atoms:
Ac 0.0531 0.4020 0.1808  2 Ho 3.78-3.80, 5 La 3.79-3.92, 5 Ac 3.82-3.94
Ac 0.1354 0.2293 0.5492  6 Ac 3.82-3.90, 4 La 3.83-3.92, 2 Ho 3.85-3.90
Ac 0.3222 0.8690 0.2649  3 Ho 3.71-3.87, 3 La 3.77-3.97, 6 Ac 3.82-3.94
Ac 0.6778 0.1310 0.7351  3 Ho 3.71-3.87, 3 La 3.77-3.97, 6 Ac 3.82-3.94
Ac 0.8646 0.7707 0.4508  6 Ac 3.82-3.90, 4 La 3.83-3.92, 2 Ho 3.85-3.90
Ac 0.9469 0.5980 0.8192  2 Ho 3.78-3.80, 5 La 3.79-3.92, 5 Ac 3.82-3.94
La 0.4066 0.6843 0.6431  8 Ac 3.77-3.97, 2 Ho 3.78-3.79, 2 La 3.80-3.95
La 0.5000 0.5000 0.0000  2 La 3.80, 8 Ac 3.81-3.92, 2 Ho 3.85
La 0.5934 0.3157 0.3569  8 Ac 3.77-3.97, 2 Ho 3.78-3.79, 2 La 3.80-3.95
Ho 0.2312 0.0446 0.9130  7 Ac 3.71-3.90, 2 Ho 3.78-3.84, 3 La 3.78-3.85
Ho 0.7688 0.9554 0.0870  7 Ac 3.71-3.90, 2 Ho 3.78-3.84, 3 La 3.78-3.85

Computed properties:
**Fermi-level density of states**: 20.4 states/eV/cell
**Final energy**: -48.1 eV per cell
**Space group**: No. 2

[8]
First-principles (PBE-GGA) data for an optimized crystal structure of TiFeSi, as listed in Alexandria.

a = 2.8716 Å, b = 5.3057 Å, c = 10.4295 Å
α = 90.00°, β = 90.00°, γ = 90.00°
Last column: nearest neighbours and their distance in Å.
Fractional coordinates of all 12 atoms:
Ti 0.0000 0.0000 0.1675  4 Fe 2.60, 4 Si 2.63-2.70, 2 Ti 2.87
Ti 0.0000 0.0000 0.8325  4 Fe 2.60, 4 Si 2.63-2.70, 2 Ti 2.87
Ti 0.5000 0.5000 0.3325  4 Fe 2.60, 4 Si 2.63-2.70, 2 Ti 2.87
Ti 0.5000 0.5000 0.6675  4 Fe 2.60, 4 Si 2.63-2.70, 2 Ti 2.87
Fe 0.0000 0.2564 0.5000  4 Si 2.35, 1 Fe 2.58, 4 Ti 2.60
Fe 0.0000 0.7436 0.5000  4 Si 2.35, 1 Fe 2.58, 4 Ti 2.60
Fe 0.5000 0.2436 0.0000  4 Si 2.35, 1 Fe 2.58, 4 Ti 2.60
Fe 0.5000 0.7564 0.0000  4 Si 2.35, 1 Fe 2.58, 4 Ti 2.60
Si 0.0000 0.5000 0.1217  4 Fe 2.35, 1 Si 2.54, 2 Ti 2.63
Si 0.0000 0.5000 0.8783  4 Fe 2.35, 1 Si 2.54, 2 Ti 2.63
Si 0.5000 0.0000 0.3783  4 Fe 2.35, 1 Si 2.54, 2 Ti 2.63
Si 0.5000 0.0000 0.6217  4 Fe 2.35, 1 Si 2.54, 2 Ti 2.63

Computed properties:
**Fermi-level density of states**: 6.7 states/eV/cell
**Final energy**: -93.4 eV per cell
**Space group**: No. 71
**Formation energy (no corrections)**: -0.5215 eV per atom

Look up the final energy of the seventh one. -48.1 eV per cell

Which value of final energy does entry 2 give? -56.1 eV per cell